[1]
Below is a PBEsol-optimized structure of Sc3Zn, with properties calculated at the meta-GGA SCAN level.

As for the formation energy from the elements: -84 kJ/mol of formula units. As for the density of states at the Fermi level: 0.86 states/eV per atom.

The structure belongs to space group Immm (No. 71); the cell edges are 3.400, 4.754 and 10.226 Å and the angles 90.00°, 90.00° and 90.00°. Symmetry generates all atoms from Sc at (0.000, 0.000, 0.000), Sc at (0.000, 0.500, 0.218) and Zn at (0.000, 0.000, 0.500).

=====

[2]
Below is a PBEsol-optimized structure of Sc8Zn, with properties calculated at the meta-GGA SCAN level.

As for the formation energy from the elements: 17 kJ/mol of formula units. As for the density of states at the Fermi level: 1.71 states/eV per atom.

The structure belongs to space group I4/mmm (No. 139); the cell edges are 9.493, 9.493 and 4.420 Å and the angles 90.00°, 90.00° and 90.00°. Symmetry generates all atoms from Sc at (0.000, 0.331, 0.000), Sc at (0.161, 0.161, 0.500) and Zn at (0.000, 0.000, 0.000).

=====

[3]
Below is a PBEsol-optimized structure of Sc3Zn, with properties calculated at the meta-GGA SCAN level.

As for the formation energy from the elements: -49 kJ/mol of formula units. As for the density of states at the Fermi level: 1.09 states/eV per atom.

The structure belongs to space group Pmmn (No. 59, origin choice 2); the cell edges are 4.808, 6.097 and 5.537 Å and the angles 90.00°, 90.00° and 90.00°. Symmetry generates all atoms from Sc at (0.250, 0.006, 0.159), Sc at (0.250, 0.250, 0.628) and Zn at (0.250, 0.750, 0.668).

=====

[4]
Below is a PBEsol-optimized structure of ScZn2, with properties calculated at the meta-GGA SCAN level.

As for the formation energy from the elements: -107 kJ/mol of formula units. As for the density of states at the Fermi level: 0.49 states/eV per atom.

The structure belongs to space group P6_3/mmc (No. 194); the cell edges are 4.5382, 4.5382 and 5.5217 Å and the angles 90.00°, 90.00° and 120.00°. Symmetry generates all atoms from Sc at (0.3333, 0.6667, 0.2500), Zn at (0.0000, 0.0000, 0.0000) and Zn at (0.3333, 0.6667, 0.7500).

=====

Number 3 is which compound? Sc3Zn